# 1
# GGA-PBE Sr2TlZnH, relaxed
# Calculated total energy: -2.343 eV per atom
# Crystal system: tetragonal
# DOS at the Fermi energy: 2.5 states/eV/cell
data_Sr2TlZnH
_cell_length_a 5.4386
_cell_length_b 5.4386
_cell_length_c 4.2264
_cell_angle_alpha 90.00
_cell_angle_beta 90.00
_cell_angle_gamma 90.00
_space_group_name_H-M_alt 'P 4/m m m'
_space_group_IT_number 123
_space_group_name_Hall '-P 4 2'
loop_
_atom_site_label
_atom_site_type_symbol
_atom_site_fract_x
_atom_site_fract_y
_atom_site_fract_z
_atom_site_occupancy
Sr1 Sr 0.0000 0.5000 0.0000 1
Tl1 Tl 0.0000 0.0000 0.5000 1
Zn1 Zn 0.5000 0.5000 0.5000 1
H1 H 0.5000 0.5000 0.0000 1

# 2
# GGA-PBE DyInTe2, relaxed
# Crystal system: tetragonal
# DOS at the Fermi energy: 1.5 states/eV/cell
# Formation energy from raw total energies: -0.79 eV/atom
data_DyInTe2
_cell_length_a 3.8679
_cell_length_b 3.8679
_cell_length_c 7.9861
_cell_angle_alpha 90.00
_cell_angle_beta 90.00
_cell_angle_gamma 90.00
_space_group_name_H-M_alt 'P 4/m m m'
_space_group_IT_number 123
_space_group_name_Hall '-P 4 2'
loop_
_atom_site_label
_atom_site_type_symbol
_atom_site_fract_x
_atom_site_fract_y
_atom_site_fract_z
_atom_site_occupancy
Dy1 Dy 0.0000 0.0000 0.0000 1
In1 In 0.0000 0.0000 0.5000 1
Te1 Te 0.5000 0.5000 0.2200 1

# 3
# GGA-PBE B2C, relaxed
# Calculated formation energy: 506.1 meV/atom
# Crystal system: monoclinic
# Excess energy over the best structure of this formula in the dataset: 321 meV/atom
# DOS at the Fermi energy: 1.5 states/eV/cell
data_B2C
_cell_length_a 4.4191
_cell_length_b 2.7052
_cell_length_c 7.2249
_cell_angle_alpha 90.00
_cell_angle_beta 93.84
_cell_angle_gamma 90.00
_space_group_name_H-M_alt 'P 1 m 1'
_space_group_IT_number 6
loop_
_space_group_symop_operation_xyz
'x,y,z'
'x,-y,z'
loop_
_atom_site_label
_atom_site_type_symbol
_atom_site_fract_x
_atom_site_fract_y
_atom_site_fract_z
_atom_site_occupancy
B1 B 0.0000 0.0000 0.0000 1
B2 B 0.0063 0.5000 0.3763 1
B3 B 0.2547 0.0000 0.4930 1
B4 B 0.2954 0.5000 0.0156 1
B5 B 0.4133 0.5000 0.7875 1
B6 B 0.6332 0.0000 0.3926 1
B7 B 0.7371 0.0000 0.1672 1
B8 B 0.9839 0.5000 0.1382 1
C1 C 0.2403 0.0000 0.7027 1
C2 C 0.7100 0.5000 0.5040 1
C3 C 0.7500 0.5000 0.7123 1
C4 C 0.9224 0.0000 0.7783 1

# 4
# GGA-PBE Tb5Pr6Mg2, relaxed
# Calculated formation energy: 122.0 meV/atom
# Crystal system: orthorhombic
# DOS at the Fermi energy: 40.5 states/eV/cell
data_Tb5Pr6Mg2
_cell_length_a 10.6057
_cell_length_b 23.1294
_cell_length_c 3.5628
_cell_angle_alpha 90.00
_cell_angle_beta 90.00
_cell_angle_gamma 90.00
_space_group_name_H-M_alt 'P b a m'
_space_group_IT_number 55
loop_
_space_group_symop_operation_xyz
'x,y,z'
'-x,-y,-z'
'-x,-y,z'
'x,y,-z'
'x+1/2,-y+1/2,-z'
'-x+1/2,y+1/2,z'
'-x+1/2,y+1/2,-z'
'x+1/2,-y+1/2,z'
loop_
_atom_site_label
_atom_site_type_symbol
_atom_site_fract_x
_atom_site_fract_y
_atom_site_fract_z
_atom_site_occupancy
Tb1 Tb 0.0000 0.0000 0.0000 1
Tb2 Tb 0.0809 0.2503 0.0000 1
Tb3 Tb 0.1659 0.5054 0.0000 1
Pr1 Pr 0.0171 0.3869 0.5000 1
Pr2 Pr 0.1470 0.1170 0.5000 1
Pr3 Pr 0.1694 0.8664 0.0000 1
Mg1 Mg 0.1691 0.7389 0.5000 1

# 5
# GGA-PBE Ga2Ag2Pd, relaxed
# Calculated formation energy: 110.8 meV/atom
# Crystal system: tetragonal
# Excess energy over the best structure of this formula in the dataset: 220 meV/atom
# DOS at the Fermi energy: 5.0 states/eV/cell
data_Ga2Ag2Pd
_cell_length_a 3.7094
_cell_length_b 3.7094
_cell_length_c 13.2213
_cell_angle_alpha 90.00
_cell_angle_beta 90.00
_cell_angle_gamma 90.00
_space_group_name_H-M_alt 'I 4/m m m'
_space_group_IT_number 139
_space_group_name_Hall '-I 4 2'
loop_
_atom_site_label
_atom_site_type_symbol
_atom_site_fract_x
_atom_site_fract_y
_atom_site_fract_z
_atom_site_occupancy
Ga1 Ga 0.0000 0.5000 0.2500 1
Ag1 Ag 0.0000 0.0000 0.1009 1
Pd1 Pd 0.0000 0.0000 0.5000 1

# 6
# GGA-PBE Mn2ReAs, relaxed
# Calculated formation energy: 260.3 meV/atom
# Crystal system: tetragonal
# DOS at the Fermi energy: 4.0 states/eV/cell
data_Mn2ReAs
_cell_length_a 4.1890
_cell_length_b 4.1890
_cell_length_c 2.9364
_cell_angle_alpha 90.00
_cell_angle_beta 90.00
_cell_angle_gamma 90.00
_space_group_name_H-M_alt 'P 4/m m m'
_space_group_IT_number 123
_space_group_name_Hall '-P 4 2'
loop_
_atom_site_label
_atom_site_type_symbol
_atom_site_fract_x
_atom_site_fract_y
_atom_site_fract_z
_atom_site_occupancy
Mn1 Mn 0.0000 0.5000 0.0000 1
Re1 Re 0.0000 0.0000 0.5000 1
As1 As 0.5000 0.5000 0.5000 1